(1)
First-principles (GGA-PBE) data for a relaxed ErZnO3 crystal, as listed in Alexandria via LeMat-Bulk.

Summary:
DOS at the Fermi energy in states/eV/atom: 0.383
Formation energy without anion corrections in eV per atom: -1.863

The structure in CIF format:
```
data_ErZnO3
_symmetry_space_group_name_H-M 'P 1'
_symmetry_Int_Tables_number 1
_symmetry_space_group_name_Hall 'P 1'
_cell_length_a 3.828
_cell_length_b 3.828
_cell_length_c 3.828
_cell_angle_alpha 90.00
_cell_angle_beta 90.00
_cell_angle_gamma 90.00
loop_
_atom_site_label
_atom_site_type_symbol
_atom_site_fract_x
_atom_site_fract_y
_atom_site_fract_z
_atom_site_occupancy
Er1 Er 0.000 0.000 0.000 1
Zn1 Zn 0.500 0.500 0.500 1
O1 O 0.000 0.500 0.500 1
O2 O 0.500 0.000 0.500 1
O3 O 0.500 0.500 0.000 1
```



(2)
First-principles (GGA-PBE) data for a relaxed LaSc2AlTc crystal, as listed in Alexandria via LeMat-Bulk.

Summary:
DOS at the Fermi energy in states/eV/atom: 0.588
Energy of formation in meV per atom: -134

The structure in CIF format:
```
data_LaSc2AlTc
_symmetry_space_group_name_H-M 'P 1'
_symmetry_Int_Tables_number 1
_symmetry_space_group_name_Hall 'P 1'
_cell_length_a 4.973
_cell_length_b 4.973
_cell_length_c 5.038
_cell_angle_alpha 90.00
_cell_angle_beta 90.00
_cell_angle_gamma 90.00
loop_
_atom_site_label
_atom_site_type_symbol
_atom_site_fract_x
_atom_site_fract_y
_atom_site_fract_z
_atom_site_occupancy
La1 La 0.000 0.000 0.000 1
Sc1 Sc 0.000 0.500 0.500 1
Sc2 Sc 0.500 0.000 0.500 1
Al1 Al 0.500 0.500 0.000 1
Tc1 Tc 0.500 0.500 0.500 1
```



(3)
First-principles (GGA-PBE) data for a relaxed Cr2NiHPd crystal, as listed in Alexandria via LeMat-Bulk.

Summary:
DOS at the Fermi energy in states/eV/atom: 1.073
Distance to the lowest polymorph of the same formula in eV per atom: 0.000

The structure in CIF format:
```
data_Cr2NiHPd
_symmetry_space_group_name_H-M 'P 1'
_symmetry_Int_Tables_number 1
_symmetry_space_group_name_Hall 'P 1'
_cell_length_a 3.688
_cell_length_b 3.688
_cell_length_c 3.816
_cell_angle_alpha 90.00
_cell_angle_beta 90.00
_cell_angle_gamma 90.00
loop_
_atom_site_label
_atom_site_type_symbol
_atom_site_fract_x
_atom_site_fract_y
_atom_site_fract_z
_atom_site_occupancy
Cr1 Cr 0.000 0.500 0.000 1
Cr2 Cr 0.500 0.000 0.000 1
Ni1 Ni 0.000 0.000 0.500 1
H1 H 0.000 0.000 0.000 1
Pd1 Pd 0.500 0.500 0.500 1
```



(4)
First-principles (GGA-PBE) data for a relaxed LiZr2TcH crystal, as listed in Alexandria via LeMat-Bulk.

Summary:
DOS at the Fermi energy in states/eV/atom: 0.591
Final energy in Ry/atom: -0.49789

The structure in CIF format:
```
data_LiZr2TcH
_symmetry_space_group_name_H-M 'P 1'
_symmetry_Int_Tables_number 1
_symmetry_space_group_name_Hall 'P 1'
_cell_length_a 4.604
_cell_length_b 4.604
_cell_length_c 3.441
_cell_angle_alpha 90.00
_cell_angle_beta 90.00
_cell_angle_gamma 90.00
loop_
_atom_site_label
_atom_site_type_symbol
_atom_site_fract_x
_atom_site_fract_y
_atom_site_fract_z
_atom_site_occupancy
Li1 Li 0.000 0.000 0.000 1
Zr1 Zr 0.000 0.500 0.500 1
Zr2 Zr 0.500 0.000 0.500 1
Tc1 Tc 0.500 0.500 0.000 1
H1 H 0.000 0.000 0.500 1
```



(5)
First-principles (GGA-PBE) data for a relaxed BeBr2Cl crystal, as listed in Alexandria via LeMat-Bulk.

Summary:
DOS at the Fermi energy in states/eV/atom: 0.670
Distance to the lowest polymorph of the same formula in eV per atom: 0.270
Formation energy without anion corrections in eV per atom: -0.425

The structure in CIF format:
```
data_BeBr2Cl
_symmetry_space_group_name_H-M 'P 1'
_symmetry_Int_Tables_number 1
_symmetry_space_group_name_Hall 'P 1'
_cell_length_a 4.505
_cell_length_b 3.637
_cell_length_c 5.958
_cell_angle_alpha 90.00
_cell_angle_beta 103.20
_cell_angle_gamma 90.00
loop_
_atom_site_label
_atom_site_type_symbol
_atom_site_fract_x
_atom_site_fract_y
_atom_site_fract_z
_atom_site_occupancy
Be1 Be 0.000 0.000 0.000 1
Br1 Br 0.112 0.500 0.280 1
Br2 Br 0.888 0.500 0.720 1
Cl1 Cl 0.500 0.000 0.000 1
```



(6)
First-principles (GGA-PBE) data for a relaxed CsRbAlAu2 crystal, as listed in Alexandria via LeMat-Bulk.

Summary:
DOS at the Fermi energy in states/eV/atom: 0.626
Energy of formation in meV per atom: 786

The structure in CIF format:
```
data_CsRbAlAu2
_symmetry_space_group_name_H-M 'P 1'
_symmetry_Int_Tables_number 1
_symmetry_space_group_name_Hall 'P 1'
_cell_length_a 6.378
_cell_length_b 6.378
_cell_length_c 6.758
_cell_angle_alpha 90.00
_cell_angle_beta 90.00
_cell_angle_gamma 90.00
loop_
_atom_site_label
_atom_site_type_symbol
_atom_site_fract_x
_atom_site_fract_y
_atom_site_fract_z
_atom_site_occupancy
Cs1 Cs 0.000 0.000 0.000 1
Rb1 Rb 0.000 0.000 0.500 1
Al1 Al 0.500 0.500 0.500 1
Au1 Au 0.000 0.500 0.000 1
Au2 Au 0.500 0.000 0.000 1
```



(7)
First-principles (GGA-PBE) data for a relaxed AlSiPb crystal, as listed in Alexandria via LeMat-Bulk.

Summary:
DOS at the Fermi energy in states/eV/atom: 0.396
Distance to the lowest polymorph of the same formula in eV per atom: 0.021
Formation energy without anion corrections in eV per atom: 0.207

The structure in CIF format:
```
data_AlSiPb
_symmetry_space_group_name_H-M 'P 1'
_symmetry_Int_Tables_number 1
_symmetry_space_group_name_Hall 'P 1'
_cell_length_a 6.219
_cell_length_b 3.654
_cell_length_c 12.193
_cell_angle_alpha 90.00
_cell_angle_beta 98.65
_cell_angle_gamma 90.00
loop_
_atom_site_label
_atom_site_type_symbol
_atom_site_fract_x
_atom_site_fract_y
_atom_site_fract_z
_atom_site_occupancy
Al1 Al 0.000 0.000 0.000 1
Al2 Al 0.048 0.500 0.630 1
Al3 Al 0.500 0.500 0.000 1
Al4 Al 0.548 0.000 0.630 1
Si1 Si 0.123 0.500 0.867 1
Si2 Si 0.425 0.500 0.762 1
Si3 Si 0.623 0.000 0.867 1
Si4 Si 0.925 0.000 0.762 1
Pb1 Pb 0.138 0.000 0.435 1
Pb2 Pb 0.223 0.500 0.198 1
Pb3 Pb 0.638 0.500 0.435 1
Pb4 Pb 0.723 0.000 0.198 1
```



(8)
First-principles (GGA-PBE) data for a relaxed NpSc2In3Se6 crystal, as listed in Alexandria via LeMat-Bulk.

Summary:
DOS at the Fermi energy in states/eV/atom: 0.651
Formation energy without anion corrections in eV per atom: -1.048

The structure in CIF format:
```
data_NpSc2In3Se6
_symmetry_space_group_name_H-M 'P 1'
_symmetry_Int_Tables_number 1
_symmetry_space_group_name_Hall 'P 1'
_cell_length_a 6.971
_cell_length_b 6.971
_cell_length_c 8.031
_cell_angle_alpha 98.33
_cell_angle_beta 98.33
_cell_angle_gamma 119.92
loop_
_atom_site_label
_atom_site_type_symbol
_atom_site_fract_x
_atom_site_fract_y
_atom_site_fract_z
_atom_site_occupancy
Np1 Np 0.000 0.000 0.000 1
Sc1 Sc 0.333 0.667 0.000 1
Sc2 Sc 0.667 0.333 0.000 1
In1 In 0.163 0.837 0.500 1
In2 In 0.500 0.500 0.500 1
In3 In 0.837 0.163 0.500 1
Se1 Se 0.068 0.416 0.204 1
Se2 Se 0.282 0.282 0.800 1
Se3 Se 0.416 0.068 0.204 1
Se4 Se 0.584 0.932 0.796 1
Se5 Se 0.718 0.718 0.200 1
Se6 Se 0.932 0.584 0.796 1
```



no.,V (Å³ per cell)
1,56.1
2,124.6
3,51.9
4,72.9
5,95.1
6,274.9
7,273.9
8,323.8